PBE BaCdCl3, relaxed; VASP energy = -3.0079 eV/atom; crystal system = cubic; calculated volume = 216 Å³ per cell; ΔE_f (raw) = -1.332 eV per atom; relative energy among the computed polymorphs = 45.1 meV/atom; ρ = 2740 kg/m3
1.0
5.9982 0.0000 0.0000
0.0000 5.9982 0.0000
0.0000 0.0000 5.9982
Cl Ba Cd
3 1 1
Cartesian
0.0000 2.9991 0.0000 Cl
0.0000 0.0000 2.9991 Cl
2.9991 0.0000 0.0000 Cl
0.0000 0.0000 0.0000 Ba
2.9991 2.9991 2.9991 Cd

PBE LiAc3Ho3Te8, relaxed; VASP energy = -4.9228 eV/atom; crystal system = trigonal; calculated volume = 519 Å³ per cell; ΔE_f (raw) = -1.382 eV per atom; ρ = 7047 kg/m3
1.0
8.9453 0.0000 0.0000
-4.4727 7.7475 -0.0267
0.0000 -5.1377 7.5094
Li Ac Ho Te
1 3 3 8
Cartesian
0.0000 -2.5689 3.7547 Li
0.0000 0.0000 0.0000 Ac
-2.2363 3.8737 -0.0134 Ac
2.2363 3.8737 -0.0134 Ac
4.4727 -2.5689 3.7547 Ho
2.2363 1.3049 3.7413 Ho
-2.2363 1.3049 3.7414 Ho
0.0000 2.5898 2.0665 Te
4.4727 0.0199 5.4162 Te
4.4727 2.5465 2.0289 Te
0.0000 0.0632 5.4538 Te
6.6704 -1.2615 2.0417 Te
-2.1977 3.8712 5.4410 Te
2.2750 -1.2615 2.0417 Te
2.1976 3.8712 5.4410 Te

PBE LaZn2Co, relaxed; VASP energy = -3.6798 eV/atom; crystal system = monoclinic; calculated volume = 80 Å³ per cell; E_form = -3 kJ/mol of atoms; ρ = 6787 kg/m3
1.0
-2.4053 -2.8739 0.5983
1.6681 -0.7235 3.2306
-2.7663 3.2023 4.2607
Co La Zn
1 1 2
Cartesian
-0.7597 1.2737 3.0639 Co
-1.8480 0.1886 5.5129 La
1.2495 -0.2516 3.8145 Zn
-1.0263 -1.0900 2.6747 Zn

PBE Ba2Ga2AsP2, relaxed; VASP energy = -4.2918 eV/atom; crystal system = monoclinic; calculated volume = 197 Å³ per cell; E_form = -64 kJ/mol of atoms; ρ = 4640 kg/m3
1.0
-0.2662 2.7971 -2.9022
2.4865 -1.3818 -7.1794
-4.9108 -4.0908 -6.3015
Ba Ga As P
2 2 1 2
Cartesian
-3.0929 -1.4178 -6.7002 Ba
0.4024 -1.2576 -9.6829 Ba
-3.2409 -2.4848 -10.5327 Ga
0.5504 -0.1906 -5.8504 Ga
0.0000 0.0000 0.0000 As
-0.8942 0.8641 -7.5136 P
-1.7963 -3.5395 -8.8695 P

PBE MgAl3Ga4, relaxed; VASP energy = -3.1196 eV/atom; crystal system = orthorhombic; calculated volume = 287 Å³ per cell; E_form = 0 kJ/mol of atoms; ρ = 4451 kg/m3
1.0
-2.7761 0.0018 4.0376
-0.4786 -6.1668 -0.3264
7.7478 -0.8833 5.3275
Mg Al Ga
2 6 8
Cartesian
-0.2393 -3.0834 -0.1632 Mg
3.6346 -3.5250 2.5005 Mg
0.0000 0.0000 0.0000 Al
3.8739 -0.4417 2.6637 Al
4.0301 -0.6613 6.5855 Al
0.9416 -0.2202 2.7795 Al
3.8602 -3.7448 6.3215 Al
0.6329 -3.3035 2.7172 Al
-1.7522 -4.6908 1.7705 Ga
2.1217 -5.1325 4.4342 Ga
-1.5025 -1.4741 1.9407 Ga
2.3714 -1.9158 4.6045 Ga
5.0649 -5.3575 4.3020 Ga
-0.8220 -4.9146 4.5661 Ga
-0.5718 -1.6908 4.7367 Ga
5.3151 -2.1337 4.4727 Ga

PBE RbZnN3, relaxed; VASP energy = -3.7108 eV/atom; crystal system = cubic; calculated volume = 76 Å³ per cell; ΔE_f (raw) = 1.733 eV per atom; ρ = 4232 kg/m3
1.0
4.2300 0.0000 0.0000
0.0000 4.2300 0.0000
0.0000 0.0000 4.2300
Zn Rb N
1 1 3
Cartesian
0.0000 0.0000 0.0000 Zn
2.1150 2.1150 2.1150 Rb
0.0000 2.1150 0.0000 N
0.0000 0.0000 2.1150 N
2.1150 0.0000 0.0000 N

PBE Cu2MoPt3, relaxed; VASP energy = -6.4304 eV/atom; crystal system = tetragonal; calculated volume = 87 Å³ per cell; E_form = -23 kJ/mol of atoms; ρ = 15478 kg/m3
1.0
2.7950 0.0000 0.0000
0.0000 2.7950 0.0000
0.0000 0.0000 11.1003
Cu Mo Pt
2 1 3
Cartesian
1.3975 1.3975 9.3323 Cu
1.3975 1.3975 1.7679 Cu
1.3975 1.3975 5.5501 Mo
0.0000 0.0000 0.0000 Pt
0.0000 0.0000 7.4716 Pt
0.0000 0.0000 3.6287 Pt

PBE TiV2ZnH, relaxed; VASP energy = -6.2588 eV/atom; crystal system = tetragonal; calculated volume = 59 Å³ per cell; ρ = 6047 kg/m3
1.0
3.7818 0.0000 0.0000
0.0000 3.7818 0.0000
0.0000 0.0000 4.1504
H Zn Ti V
1 1 1 2
Cartesian
0.0000 0.0000 0.0000 H
1.8909 1.8909 2.0752 Zn
0.0000 0.0000 2.0752 Ti
0.0000 1.8909 0.0000 V
1.8909 0.0000 0.0000 V